Record 1
Entry from Alexandria via LeMat-Bulk: YMg2Os after structural relaxation (PBEsol).

a = 4.7795 Å, b = 4.7794 Å, c = 4.7795 Å
α = 60.00°, β = 90.00°, γ = 120.00°
Atoms (fractional coordinates):
Mg1 0.5000 0.0000 0.5000
Mg2 0.2500 0.5000 0.2500
Os1 0.0000 0.0000 0.0000
Y1 0.7500 0.5000 0.7500

- energy above the lowest structure with this stoichiometry (meV per atom) = 0
- formation enthalpy at 0 K (eV per formula unit) = 0.36
- VASP energy (eV/atom) = -5.5283
- symmetry = F-43m, No. 216

Record 2
Entry from Alexandria via LeMat-Bulk: FeCoOs2 after structural relaxation (PBEsol).

a = 2.5993 Å, b = 4.4218 Å, c = 4.4616 Å
α = 99.51°, β = 106.94°, γ = 90.00°
Atoms (fractional coordinates):
Co1 0.4994 0.4974 0.9989
Fe1 0.7490 0.2524 0.4980
Os1 0.0025 0.0147 0.0050
Os2 0.2491 0.7355 0.4981

- energy above the lowest structure with this stoichiometry (meV per atom) = 6
- formation enthalpy at 0 K (eV per formula unit) = 0.55
- VASP energy (eV/atom) = -10.1462
- symmetry = Cm, No. 8

Record 3
Entry from Alexandria via LeMat-Bulk: Si2HgMo after structural relaxation (PBEsol).

a = 2.8261 Å, b = 2.8261 Å, c = 9.8774 Å
α = 81.78°, β = 81.78°, γ = 60.00°
Atoms (fractional coordinates):
Hg1 0.5074 0.5074 0.4779
Mo1 0.2615 0.2615 0.2156
Si1 0.9965 0.9965 0.0106
Si2 0.7347 0.7347 0.7959

- VASP energy (eV/atom) = -5.5855
- energy relative to the elements, uncorrected (eV per atom) = 0.37
- symmetry = R3m, No. 160

Record 4
Entry from Alexandria via LeMat-Bulk: CoReNi2 after structural relaxation (PBEsol).

a = 3.5401 Å, b = 3.5401 Å, c = 4.3578 Å
α = 113.97°, β = 113.97°, γ = 90.00°
Atoms (fractional coordinates):
Re1 0.5000 0.5000 0.0000
Co1 0.2500 0.7500 0.5000
Ni1 0.0000 0.0000 0.0000
Ni2 0.7500 0.2500 0.5000

- energy above the lowest structure with this stoichiometry (meV per atom) = 0
- formation enthalpy at 0 K (eV per formula unit) = -0.09
- VASP energy (eV/atom) = -8.3676
- symmetry = I-4m2, No. 119

Record 5
Entry from Alexandria via LeMat-Bulk: NdZn11 after structural relaxation (PBEsol).

a = 6.6945 Å, b = 8.0998 Å, c = 8.0998 Å
α = 80.17°, β = 65.59°, γ = 65.59°
Atoms (fractional coordinates):
Nd1 0.0000 0.0000 0.0000
Nd2 0.7500 0.5000 0.5000
Zn1 0.9305 0.4163 0.8272
Zn2 0.1740 0.5837 0.1728
Zn3 0.2500 0.5000 0.5000
Zn4 0.5000 0.0000 0.0000
Zn5 0.3750 0.2500 0.7500
Zn6 0.3750 0.2500 0.2500
Zn7 0.8750 0.7500 0.7500
Zn8 0.3750 0.7500 0.2500
Zn9 0.1740 0.1728 0.5837
Zn10 0.0968 0.0837 0.3272
Zn11 0.5076 0.9163 0.6728
Zn12 0.9305 0.8272 0.4163
Zn13 0.2424 0.8272 0.5837
Zn14 0.6532 0.1728 0.4163
Zn15 0.5760 0.9163 0.3272
Zn16 0.8195 0.0837 0.6728
Zn17 0.5760 0.3272 0.9163
Zn18 0.6532 0.4163 0.1728
Zn19 0.2424 0.5837 0.8272
Zn20 0.8195 0.6728 0.0837
Zn21 0.5076 0.6728 0.9163
Zn22 0.0968 0.3272 0.0837

- formation enthalpy at 0 K (eV per formula unit) = -2.82
- VASP energy (eV/atom) = -2.1159
- symmetry = I4_1/amd, No. 141

Record 6
Entry from Alexandria via LeMat-Bulk: NbCr2 after structural relaxation (PBEsol).

a = 4.8455 Å, b = 4.8455 Å, c = 7.9983 Å
α = 90.00°, β = 90.00°, γ = 120.00°
Atoms (fractional coordinates):
Cr1 0.1696 0.3392 0.7500
Cr2 0.1696 0.8304 0.7500
Cr3 0.3392 0.1696 0.2500
Cr4 0.8304 0.6608 0.2500
Cr5 0.0000 0.0000 0.0000
Cr6 0.6608 0.8304 0.7500
Cr7 0.8304 0.1696 0.2500
Cr8 0.0000 0.0000 0.5000
Nb1 0.3333 0.6667 0.4407
Nb2 0.6667 0.3333 0.9407
Nb3 0.6667 0.3333 0.5593
Nb4 0.3333 0.6667 0.0593

- formation enthalpy at 0 K (eV per formula unit) = -0.04
- VASP energy (eV/atom) = -10.4476
- symmetry = P6_3/mmc, No. 194

Record 7
Entry from Alexandria via LeMat-Bulk: TaTiAsSe2 after structural relaxation (PBEsol).

a = 4.7395 Å, b = 4.7395 Å, c = 4.7996 Å
α = 90.00°, β = 90.00°, γ = 90.00°
Atoms (fractional coordinates):
As1 0.0000 0.0000 0.5000
Ti1 0.0000 0.0000 0.0000
Se1 0.0000 0.5000 0.0000
Se2 0.5000 0.0000 0.0000
Ta1 0.5000 0.5000 0.5000

- energy above the lowest structure with this stoichiometry (meV per atom) = 227
- VASP energy (eV/atom) = -6.2370
- energy relative to the elements, uncorrected (eV per atom) = 0.50
- symmetry = P4/mmm, No. 123

Record 8
Entry from Alexandria via LeMat-Bulk: Cd2SiAgMo after structural relaxation (PBEsol).

a = 4.6213 Å, b = 4.8801 Å, c = 4.8801 Å
α = 90.00°, β = 90.00°, γ = 90.00°
Atoms (fractional coordinates):
Mo1 0.5000 0.5000 0.5000
Si1 0.0000 0.0000 0.0000
Ag1 0.5000 0.0000 0.0000
Cd1 0.0000 0.0000 0.5000
Cd2 0.0000 0.5000 0.0000

- VASP energy (eV/atom) = -3.4239
- energy relative to the elements, uncorrected (eV per atom) = 1.22
- symmetry = P4/mmm, No. 123

Record 9
Entry from Alexandria via LeMat-Bulk: PdSe2F after structural relaxation (PBEsol).

a = 3.8163 Å, b = 3.8163 Å, c = 7.0771 Å
α = 74.36°, β = 74.36°, γ = 60.00°
Atoms (fractional coordinates):
Se1 0.8928 0.8928 0.3215
Se2 0.1072 0.1072 0.6785
Pd1 0.5000 0.5000 0.5000
F1 0.0000 0.0000 0.0000

- VASP energy (eV/atom) = -4.4573
- energy relative to the elements, uncorrected (eV per atom) = -0.56
- symmetry = R-3m, No. 166

Record 10
Entry from Alexandria via LeMat-Bulk: AlCrIr2 after structural relaxation (PBEsol).

a = 4.2439 Å, b = 4.2439 Å, c = 4.2439 Å
α = 60.00°, β = 60.00°, γ = 60.00°
Atoms (fractional coordinates):
Cr1 0.2500 0.2500 0.2500
Ir1 0.0000 0.0000 0.0000
Ir2 0.7500 0.7500 0.7500
Al1 0.5000 0.5000 0.5000

- formation enthalpy at 0 K (eV per formula unit) = -0.14
- VASP energy (eV/atom) = -8.5289
- symmetry = F-43m, No. 216

Record 11
Entry from Alexandria via LeMat-Bulk: K2HgMo after structural relaxation (PBEsol).

a = 2.9736 Å, b = 4.4570 Å, c = 9.9335 Å
α = 90.00°, β = 90.00°, γ = 90.00°
Atoms (fractional coordinates):
Hg1 0.5000 0.5000 0.6683
K1 0.0000 0.0000 0.9172
K2 0.5000 0.5000 0.3265
Mo1 0.0000 0.0000 0.5880

- formation enthalpy at 0 K (eV per formula unit) = 3.24
- VASP energy (eV/atom) = -2.8402
- symmetry = Pmm2, No. 25

Record 12
Entry from Alexandria via LeMat-Bulk: Zn2Ag3 after structural relaxation (PBEsol).

a = 2.8756 Å, b = 2.8756 Å, c = 9.5227 Å
α = 98.68°, β = 98.68°, γ = 90.00°
Atoms (fractional coordinates):
Zn1 0.0987 0.0987 0.1975
Zn2 0.9013 0.9013 0.8025
Ag1 0.3049 0.3049 0.6099
Ag2 0.6951 0.6951 0.3901
Ag3 0.5000 0.5000 0.0000

- energy above the lowest structure with this stoichiometry (meV per atom) = 3
- formation enthalpy at 0 K (eV per formula unit) = -0.27
- VASP energy (eV/atom) = -2.6736
- symmetry = I4/mmm, No. 139

Record 13
Entry from Alexandria via LeMat-Bulk: Cu3Pt2 after structural relaxation (PBEsol).

a = 2.6934 Å, b = 6.4079 Å, c = 7.7227 Å
α = 104.09°, β = 90.00°, γ = 90.00°
Atoms (fractional coordinates):
Cu1 0.0000 0.9825 0.9914
Cu2 0.5000 0.8944 0.7061
Cu3 0.0000 0.8024 0.3943
Cu4 0.5000 0.6997 0.0976
Cu5 0.0000 0.6038 0.8058
Cu6 0.0000 0.4143 0.2037
Pt1 0.5000 0.5171 0.5012
Pt2 0.5000 0.3000 0.9137
Pt3 0.0000 0.1918 0.6020
Pt4 0.5000 0.0939 0.2843

- energy above the lowest structure with this stoichiometry (meV per atom) = 13
- formation enthalpy at 0 K (eV per formula unit) = -0.51
- VASP energy (eV/atom) = -5.4872
- symmetry = Pm, No. 6

Record 14
Entry from Alexandria via LeMat-Bulk: Tl2InAg after structural relaxation (PBEsol).

a = 3.4563 Å, b = 4.6995 Å, c = 6.2392 Å
α = 90.00°, β = 106.72°, γ = 90.00°
Atoms (fractional coordinates):
Ag1 0.3079 0.0000 0.4786
In1 0.4366 0.5000 0.7555
Tl1 0.0444 0.0000 0.9687
Tl2 0.7110 0.5000 0.2973

- energy above the lowest structure with this stoichiometry (meV per atom) = 47
- formation enthalpy at 0 K (eV per formula unit) = 0.33
- VASP energy (eV/atom) = -2.8067
- symmetry = Pm, No. 6

Record 15
Entry from Alexandria via LeMat-Bulk: ReNiP2C after structural relaxation (PBEsol).

a = 3.8737 Å, b = 4.0188 Å, c = 4.0188 Å
α = 90.00°, β = 90.00°, γ = 90.00°
Atoms (fractional coordinates):
Re1 0.5000 0.0000 0.0000
C1 0.0000 0.0000 0.0000
P1 0.0000 0.0000 0.5000
P2 0.0000 0.5000 0.0000
Ni1 0.5000 0.5000 0.5000

- formation enthalpy at 0 K (eV per formula unit) = 5.20
- VASP energy (eV/atom) = -7.1022
- symmetry = P4/mmm, No. 123

Record 16
Entry from Alexandria via LeMat-Bulk: MnHgIN2 after structural relaxation (PBEsol).

a = 3.8136 Å, b = 3.8136 Å, c = 5.4974 Å
α = 90.00°, β = 90.00°, γ = 90.00°
Atoms (fractional coordinates):
I1 0.0000 0.0000 0.5000
Mn1 0.0000 0.0000 0.0000
Hg1 0.5000 0.5000 0.5000
N1 0.0000 0.5000 0.0000
N2 0.5000 0.0000 0.0000

- VASP energy (eV/atom) = -4.9620
- energy relative to the elements, uncorrected (eV per atom) = 0.87
- symmetry = P4/mmm, No. 123

Record 17
Entry from Alexandria via LeMat-Bulk: TcP2Ru after structural relaxation (PBEsol).

a = 2.8482 Å, b = 3.7696 Å, c = 5.0191 Å
α = 90.00°, β = 90.00°, γ = 90.00°
Atoms (fractional coordinates):
P1 0.0000 0.0000 0.0000
P2 0.5000 0.0000 0.5000
Ru1 0.5000 0.5000 0.0000
Tc1 0.0000 0.5000 0.5000

- energy above the lowest structure with this stoichiometry (meV per atom) = 56
- formation enthalpy at 0 K (eV per formula unit) = 0.18
- VASP energy (eV/atom) = -8.2106
- symmetry = Pmmm, No. 47

Record 18
Entry from Alexandria via LeMat-Bulk: MoIrAu2 after structural relaxation (PBEsol).

a = 4.4786 Å, b = 4.4786 Å, c = 4.4786 Å
α = 60.00°, β = 60.00°, γ = 60.00°
Atoms (fractional coordinates):
Au1 0.0000 0.0000 0.0000
Au2 0.7500 0.7500 0.7500
Ir1 0.5000 0.5000 0.5000
Mo1 0.2500 0.2500 0.2500

- energy above the lowest structure with this stoichiometry (meV per atom) = 371
- formation enthalpy at 0 K (eV per formula unit) = 1.56
- VASP energy (eV/atom) = -6.9697
- symmetry = F-43m, No. 216

Record 19
Entry from Alexandria via LeMat-Bulk: Mn3NbH after structural relaxation (PBEsol).

a = 3.7356 Å, b = 3.7356 Å, c = 3.7356 Å
α = 90.00°, β = 90.00°, γ = 90.00°
Atoms (fractional coordinates):
H1 0.0000 0.0000 0.0000
Nb1 0.5000 0.5000 0.5000
Mn1 0.0000 0.5000 0.0000
Mn2 0.0000 0.0000 0.5000
Mn3 0.5000 0.0000 0.0000

- VASP energy (eV/atom) = -8.6076
- symmetry = Pm-3m, No. 221

Record 20
Entry from Alexandria via LeMat-Bulk: TaIBrO2 after structural relaxation (PBEsol).

a = 3.9371 Å, b = 3.9371 Å, c = 6.2770 Å
α = 90.00°, β = 90.00°, γ = 90.00°
Atoms (fractional coordinates):
I1 0.0000 0.0000 0.5000
O1 0.0000 0.5000 0.0000
O2 0.5000 0.0000 0.0000
Br1 0.0000 0.0000 0.0000
Ta1 0.5000 0.5000 0.5000

- VASP energy (eV/atom) = -4.2089
- energy relative to the elements, uncorrected (eV per atom) = 1.13
- symmetry = P4/mmm, No. 123

Record 21
Entry from Alexandria via LeMat-Bulk: Na7W12O36 after structural relaxation (PBEsol).

a = 9.4273 Å, b = 9.4262 Å, c = 9.4267 Å
α = 120.00°, β = 99.60°, γ = 70.52°
Atoms (fractional coordinates):
Na1 0.7487 0.0837 0.6650
Na2 0.7496 0.7486 0.0000
Na3 0.2504 0.2514 0.0000
Na4 0.7487 0.4188 0.3350
Na5 0.2513 0.9163 0.3350
Na6 0.0000 0.0000 0.0000
Na7 0.2513 0.5812 0.6650
W1 0.8739 0.0418 0.3348
W2 0.6226 0.1263 0.0000
W3 0.8739 0.7070 0.6652
W4 0.6244 0.7919 0.3339
W5 0.3756 0.2081 0.6661
W6 0.1261 0.2930 0.3348
W7 0.3774 0.8737 0.0000
W8 0.8736 0.3774 0.0000
W9 0.1261 0.9582 0.6652
W10 0.6244 0.4580 0.6661
W11 0.1264 0.6226 0.0000
W12 0.3756 0.5420 0.3339
O1 0.7520 0.2480 0.0000
O2 0.7502 0.2497 0.4999
O3 0.7520 0.9175 0.8348
O4 0.7520 0.0827 0.1652
O5 0.4999 0.1669 0.8335
O6 0.5000 0.0000 0.0000
O7 0.7500 0.9168 0.3336
O8 0.2498 0.2503 0.4999
O9 0.5001 0.6666 0.8335
O10 0.2480 0.9173 0.8348
O11 0.7502 0.7497 0.5001
O12 0.7499 0.5834 0.1665
O13 0.5000 0.0000 0.5000
O14 0.5001 0.8331 0.1665
O15 0.2480 0.0825 0.1652
O16 0.0000 0.1655 0.8348
O17 0.7499 0.4169 0.8335
O18 0.7500 0.5832 0.6664
O19 0.2500 0.0832 0.6664
O20 0.0000 0.1651 0.3302
O21 0.2480 0.7520 0.0000
O22 0.5000 0.6669 0.3337
O23 0.0000 0.0000 0.5000
O24 0.2501 0.5831 0.1665
O25 0.0000 0.6694 0.8348
O26 0.5000 0.5000 0.5000
O27 0.4999 0.3334 0.1665
O28 0.2498 0.7503 0.5001
O29 0.0000 0.8345 0.1652
O30 0.2501 0.4166 0.8335
O31 0.0000 0.5000 0.0000
O32 0.0000 0.8349 0.6698
O33 0.5000 0.3331 0.6663
O34 0.2500 0.4168 0.3336
O35 0.0000 0.5000 0.5000
O36 0.0000 0.3306 0.1652

- VASP energy (eV/atom) = -8.8026
- energy relative to the elements, uncorrected (eV per atom) = -2.18
- symmetry = C2/m, No. 12

Record 22
Entry from Alexandria via LeMat-Bulk: TlAg2Hg after structural relaxation (PBEsol).

a = 3.4019 Å, b = 3.7633 Å, c = 6.3151 Å
α = 90.00°, β = 90.00°, γ = 90.00°
Atoms (fractional coordinates):
Tl1 0.5000 0.5000 0.7654
Hg1 0.0000 0.0000 0.4737
Ag1 0.0000 0.0000 0.0222
Ag2 0.5000 0.5000 0.2388

- formation enthalpy at 0 K (eV per formula unit) = 0.28
- VASP energy (eV/atom) = -2.3860
- symmetry = Pmm2, No. 25

Record 23
Entry from Alexandria via LeMat-Bulk: Fe2NiRh after structural relaxation (PBEsol).

a = 3.5812 Å, b = 3.5812 Å, c = 4.4601 Å
α = 113.67°, β = 113.67°, γ = 90.00°
Atoms (fractional coordinates):
Ni1 0.5000 0.5000 0.0000
Rh1 0.2500 0.7500 0.5000
Fe1 0.0000 0.0000 0.0000
Fe2 0.7500 0.2500 0.5000

- formation enthalpy at 0 K (eV per formula unit) = 0.13
- VASP energy (eV/atom) = -8.0242
- symmetry = I-4m2, No. 119

Record 24
Entry from Alexandria via LeMat-Bulk: SiRu2Se after structural relaxation (PBEsol).

a = 2.8760 Å, b = 2.8760 Å, c = 7.8812 Å
α = 79.49°, β = 79.49°, γ = 60.00°
Atoms (fractional coordinates):
Ru1 0.2534 0.2534 0.2399
Ru2 0.7466 0.7466 0.7601
Se1 0.5000 0.5000 0.5000
Si1 0.0000 0.0000 0.0000

- energy above the lowest structure with this stoichiometry (meV per atom) = 0
- VASP energy (eV/atom) = -7.6479
- energy relative to the elements, uncorrected (eV per atom) = -0.16
- symmetry = R-3m, No. 166

Record 25
Entry from Alexandria via LeMat-Bulk: YTa2P after structural relaxation (PBEsol).

a = 3.3416 Å, b = 3.3416 Å, c = 6.6658 Å
α = 90.00°, β = 90.00°, γ = 90.00°
Atoms (fractional coordinates):
P1 0.5000 0.5000 0.8017
Ta1 0.0000 0.0000 0.9760
Ta2 0.5000 0.5000 0.2093
Y1 0.0000 0.0000 0.5130

- formation enthalpy at 0 K (eV per formula unit) = -1.27
- VASP energy (eV/atom) = -9.7465
- symmetry = P4mm, No. 99